DFT (GGA-PBE) results for a geometry-optimized K2CeNp2S6 structure.

Summary:
Space group ... C2/m, No. 12
Formation energy from raw total energies ... -1.54 eV per atom

a b c (Å): 7.073 7.073 7.844
angles (deg): 98.52 98.52 120.27
Site moments in Bohr magnetons follow the coordinates.
Sites, in units of the cell vectors:
S 0.595 0.940 0.306  -0.07
S 0.726 0.726 0.695  -0.07
S 0.060 0.405 0.694  -0.07
S 0.274 0.274 0.305  -0.07
S 0.940 0.595 0.306  -0.07
S 0.405 0.060 0.694  -0.07
Ce 0.000 0.000 0.500  0.79
K 0.834 0.166 0.000  0.00
K 0.166 0.834 0.000  0.00
Np 0.665 0.335 0.500  3.64
Np 0.335 0.665 0.500  3.64

DFT (GGA-PBE) results for a geometry-optimized Al4IrPd structure.

Summary:
Space group ... C2/m, No. 12
Electronic total energy ... -33.0 eV/cell

a b c (Å): 2.990 4.680 6.958
angles (deg): 97.53 77.59 71.37
Sites, in units of the cell vectors:
Al 0.673 0.989 0.665
Al 0.164 0.499 0.172
Al 0.836 0.501 0.828
Al 0.327 0.011 0.335
Ir 0.500 0.500 0.500
Pd 0.000 0.000 0.000

Calculated volume per entry: 29.41, 14.66 Å³/atom
Total magnetic moment per entry: 8.000, 0.000 μB per formula unit